Model A:
Rb2IrPd: relaxed, PBE-GGA.

* DOS at the Fermi energy: 0.92 states/eV/atom
* spin magnetization: 0.260 μB/atom

Geometry as CIF:
```
data_Rb2IrPd
_space_group_name_H-M_alt 'F m -3 m'
_space_group_IT_number 225
_space_group_name_Hall '-F 4 2 3'
_cell_length_a 7.837
_cell_length_b 7.837
_cell_length_c 7.837
_cell_angle_alpha 90.00
_cell_angle_beta 90.00
_cell_angle_gamma 90.00
loop_
_atom_site_label
_atom_site_type_symbol
_atom_site_fract_x
_atom_site_fract_y
_atom_site_fract_z
_atom_site_occupancy
Rb1 Rb 0.250 0.250 0.250 1
Ir1 Ir 0.000 0.000 0.000 1
Pd1 Pd 0.000 0.000 0.500 1
```


Model B:
Rb2IrPd: relaxed, PBE-GGA.

* DOS at the Fermi energy: 1.25 states/eV/atom
* spin magnetization: 0.001 μB/atom

Geometry as CIF:
```
data_Rb2IrPd
_space_group_name_H-M_alt 'I -4 2 d'
_space_group_IT_number 122
_space_group_name_Hall 'I -4 2bw'
_cell_length_a 12.497
_cell_length_b 12.497
_cell_length_c 4.831
_cell_angle_alpha 90.00
_cell_angle_beta 90.00
_cell_angle_gamma 90.00
loop_
_atom_site_label
_atom_site_type_symbol
_atom_site_fract_x
_atom_site_fract_y
_atom_site_fract_z
_atom_site_occupancy
Rb1 Rb 0.053 0.250 0.125 1
Ir1 Ir 0.000 0.000 0.500 1
Pd1 Pd 0.000 0.000 0.000 1
```


Relative energies in meV/atom: model A 454; model B 0